Record 1
VASP calculation (PBE) on a relaxed structure of Ho3ScRh4.

Cell and atoms, written as POSCAR:
```
Ho3ScRh4
1.0
3.3081 0.0000 0.0000
0.0000 3.3081 0.0000
0.0000 0.0000 13.9359
Ho Rh Sc
3 4 1
Cartesian
1.6541 1.6541 3.4027 Ho
1.6541 1.6541 6.9680 Ho
1.6541 1.6541 10.5332 Ho
0.0000 0.0000 5.1781 Rh
0.0000 0.0000 12.3455 Rh
0.0000 0.0000 8.7579 Rh
0.0000 0.0000 1.5904 Rh
1.6541 1.6541 0.0000 Sc
```

Values from the calculation:
E_form: -0.9165 eV/atom

Record 2
VASP calculation (PBE) on a relaxed structure of Ho5Sc4Rh4.

Cell and atoms, written as POSCAR:
```
Ho5Sc4Rh4
1.0
-1.8190 -1.9241 3.3159
-6.4541 -4.4795 -3.4245
4.1438 -7.4735 0.6517
Sc Rh Ho
4 4 5
Cartesian
-2.1036 -4.6253 -1.1226 Sc
-3.2402 -7.5666 -0.7377 Sc
-0.8891 -6.3105 1.2809 Sc
-2.0257 -9.2518 1.6658 Sc
-1.3656 -9.6387 -0.9117 Rh
1.4914 -5.9375 0.0880 Rh
-2.7637 -4.2384 1.4548 Rh
-5.6207 -7.9396 0.4551 Rh
0.0000 0.0000 0.0000 Ho
1.1562 -9.1448 0.7582 Ho
-4.4775 -10.6261 -0.4766 Ho
-5.2855 -4.7323 -0.2151 Ho
0.3482 -3.2510 1.0197 Ho
```

Values from the calculation:
E_form: -0.6180 eV/atom

Record 3
VASP calculation (PBE) on a relaxed structure of HoSc2Rh.

Cell and atoms, written as POSCAR:
```
HoSc2Rh
1.0
6.0003 0.0000 0.0000
0.0000 6.9299 0.0000
0.0000 0.0000 8.8549
Sc Ho Rh
8 4 4
Cartesian
2.0122 1.2220 0.5398 Sc
3.9881 5.7079 8.3151 Sc
0.9880 4.6870 3.8877 Sc
5.0123 2.2429 8.3151 Sc
3.9881 5.7079 4.9672 Sc
2.0122 1.2220 3.8877 Sc
5.0123 2.2429 4.9672 Sc
0.9880 4.6870 0.5398 Sc
0.7601 6.7207 6.6412 Ho
3.7603 3.6742 2.2137 Ho
5.2402 0.2092 2.2137 Ho
2.2401 3.2557 6.6412 Ho
2.5563 6.1350 2.2137 Rh
3.4440 0.7949 6.6412 Rh
0.4439 2.6700 2.2137 Rh
5.5564 4.2599 6.6412 Rh
```

Values from the calculation:
ΔE to the lowest computed polymorph: 0.000 eV per atom
E_form: -0.5330 eV/atom

Q: Which of these has the lowest E_form?
A: Ho3ScRh4